Entry 1:
Below is an optimized crystal structure of TmThCoOs, with properties calculated at the PBE-GGA level.

For the total magnetization, the calculation gives 0.48 Bohr magnetons per cell. The value obtained for the formation energy is -0.964 eV per formula unit. The density of states at the Fermi level is 0.29 states/eV per atom.

Cell: 4.8627 4.8627 4.8627 Å, 60.00 60.00 60.00°
Last column: magnetic moment on the atom in μB.
Fractional coordinates of all 4 atoms:
Co: 0.7500 0.7500 0.7500  0.73
Tm: 0.5000 0.5000 0.5000  -0.10
Os: 0.2500 0.2500 0.2500  0.07
Th: 0.0000 0.0000 0.0000  -0.11

***

Entry 2:
Below is an optimized crystal structure of TiCoOs3, with properties calculated at the PBE-GGA level.

For the total magnetization, the calculation gives 2.86 Bohr magnetons per cell. The value obtained for the formation energy is 6.963 eV per formula unit. The density of states at the Fermi level is 1.21 states/eV per atom.

Cell: 4.3930 4.3930 4.3930 Å, 90.00 90.00 90.00°
Last column: magnetic moment on the atom in μB.
Fractional coordinates of all 5 atoms:
Co: 0.0000 0.0000 0.0000  1.36
Os: 0.0000 0.5000 0.0000  0.30
Os: 0.0000 0.0000 0.5000  0.34
Os: 0.5000 0.0000 0.0000  0.15
Ti: 0.5000 0.5000 0.5000  0.40

***

Entry 3:
Below is an optimized crystal structure of TiCoOs, with properties calculated at the PBE-GGA level.

For the total magnetization, the calculation gives 0.24 Bohr magnetons per cell. The value obtained for the formation energy is -0.192 eV per formula unit. The density of states at the Fermi level is 1.39 states/eV per atom.

Cell: 2.8002 4.9694 6.3687 Å, 97.94 90.00 106.36°
Last column: magnetic moment on the atom in μB.
Fractional coordinates of all 6 atoms:
Co: 0.2934 0.5868 0.3504  0.14
Co: 0.7066 0.4132 0.6496  0.14
Ti: 0.5703 0.1406 0.2973  -0.03
Ti: 0.4297 0.8594 0.7027  -0.03
Os: 0.8666 0.7331 0.0506  0.01
Os: 0.1334 0.2669 0.9494  0.01

***

Entry 4:
Below is an optimized crystal structure of Ti3CoOs, with properties calculated at the PBE-GGA level.

For the total magnetization, the calculation gives 0.00 Bohr magnetons per cell. The value obtained for the formation energy is 2.198 eV per formula unit. The density of states at the Fermi level is 1.54 states/eV per atom.

Cell: 4.3699 4.3699 4.3699 Å, 90.00 90.00 90.00°
Fractional coordinates of all 5 atoms:
Co: 0.0000 0.0000 0.0000
Os: 0.5000 0.5000 0.5000
Ti: 0.0000 0.5000 0.0000
Ti: 0.0000 0.0000 0.5000
Ti: 0.5000 0.0000 0.0000

***

Entry 5:
Below is an optimized crystal structure of Ti2Co2Os, with properties calculated at the PBE-GGA level.

For the total magnetization, the calculation gives 0.00 Bohr magnetons per cell. The value obtained for the formation energy is -1.209 eV per formula unit. The density of states at the Fermi level is 0.96 states/eV per atom.

Cell: 6.5635 6.5635 3.1124 Å, 90.00 90.00 90.00°
Fractional coordinates of all 10 atoms:
Co: 0.3775 0.8775 0.0000
Co: 0.8775 0.6225 0.0000
Co: 0.6225 0.1225 0.0000
Co: 0.1225 0.3775 0.0000
Os: 0.0000 0.0000 0.0000
Os: 0.5000 0.5000 0.0000
Ti: 0.1806 0.6806 0.5000
Ti: 0.6806 0.8194 0.5000
Ti: 0.8194 0.3194 0.5000
Ti: 0.3194 0.1806 0.5000

***

Entry 6:
Below is an optimized crystal structure of TiCo2Os2, with properties calculated at the PBE-GGA level.

For the total magnetization, the calculation gives 0.00 Bohr magnetons per cell. The value obtained for the formation energy is 0.053 eV per formula unit. The density of states at the Fermi level is 1.09 states/eV per atom.

Cell: 7.1789 7.1789 2.6001 Å, 90.00 90.00 90.00°
Fractional coordinates of all 10 atoms:
Co: 0.3828 0.8828 0.0000
Co: 0.8828 0.6172 0.0000
Co: 0.6172 0.1172 0.0000
Co: 0.1172 0.3828 0.0000
Os: 0.1789 0.6789 0.5000
Os: 0.6789 0.8211 0.5000
Os: 0.8211 0.3211 0.5000
Os: 0.3211 0.1789 0.5000
Ti: 0.0000 0.0000 0.0000
Ti: 0.5000 0.5000 0.0000

***

Entry 7:
Below is an optimized crystal structure of Ti6CoOs5, with properties calculated at the PBE-GGA level.

For the total magnetization, the calculation gives 0.82 Bohr magnetons per cell. The value obtained for the formation energy is -7.759 eV per formula unit. The density of states at the Fermi level is 0.49 states/eV per atom.

Cell: 4.3596 6.1475 7.5431 Å, 114.05 106.85 90.00°
Last column: magnetic moment on the atom in μB.
Fractional coordinates of all 12 atoms:
Co: 0.0000 0.0000 0.0000  0.92
Os: 0.6659 0.1660 0.3320  0.01
Os: 0.3337 0.3337 0.6674  0.00
Os: 0.0000 0.5000 0.0000  0.02
Os: 0.6663 0.6663 0.3326  0.00
Os: 0.3341 0.8340 0.6680  0.01
Ti: 0.8345 0.5860 0.6690  -0.01
Ti: 0.8345 0.0829 0.6690  -0.01
Ti: 0.5001 0.7529 0.0000  0.00
Ti: 0.4999 0.2471 0.0000  0.00
Ti: 0.1655 0.9171 0.3310  -0.01
Ti: 0.1655 0.4140 0.3310  -0.01

***

Entry 8:
Below is an optimized crystal structure of Ti6CoOs, with properties calculated at the PBE-GGA level.

For the total magnetization, the calculation gives 0.53 Bohr magnetons per cell. The value obtained for the formation energy is -2.112 eV per formula unit. The density of states at the Fermi level is 1.30 states/eV per atom.

Cell: 4.2945 4.2945 7.3944 Å, 73.12 73.12 90.00°
Last column: magnetic moment on the atom in μB.
Fractional coordinates of all 8 atoms:
Ti: 0.7509 0.7509 0.4982  -0.01
Ti: 0.6129 0.1129 0.7742  -0.02
Ti: 0.1129 0.6129 0.7742  -0.02
Ti: 0.3871 0.8871 0.2258  -0.02
Ti: 0.2491 0.2491 0.5018  -0.01
Ti: 0.8871 0.3871 0.2258  -0.02
Co: 0.5000 0.5000 0.0000  0.62
Os: 0.0000 0.0000 0.0000  0.04

***

Entry 9:
Below is an optimized crystal structure of TiCoOs3, with properties calculated at the PBE-GGA level.

For the total magnetization, the calculation gives 0.00 Bohr magnetons per cell. The value obtained for the formation energy is 10.591 eV per formula unit. The density of states at the Fermi level is 1.81 states/eV per atom.

Cell: 4.4747 4.4747 4.4747 Å, 90.00 90.00 90.00°
Fractional coordinates of all 5 atoms:
Co: 0.5000 0.5000 0.5000
Os: 0.0000 0.5000 0.0000
Os: 0.0000 0.0000 0.5000
Os: 0.5000 0.0000 0.0000
Ti: 0.0000 0.0000 0.0000

***

Entry 10:
Below is an optimized crystal structure of Ti6Co2Os, with properties calculated at the PBE-GGA level.

For the total magnetization, the calculation gives 0.00 Bohr magnetons per cell. The value obtained for the formation energy is -2.886 eV per formula unit. The density of states at the Fermi level is 1.24 states/eV per atom.

Cell: 7.0888 7.0888 7.0888 Å, 108.98 110.38 109.06°
Fractional coordinates of all 18 atoms:
Ti: 0.5313 0.7150 0.8164
Ti: 0.4687 0.2851 0.1836
Ti: 0.1014 0.2851 0.8164
Ti: 0.8986 0.7150 0.1836
Ti: 0.8020 0.7578 0.5598
Ti: 0.1980 0.2422 0.4402
Ti: 0.1980 0.7578 0.9558
Ti: 0.8020 0.2422 0.0442
Ti: 0.7190 0.3941 0.6751
Ti: 0.2810 0.6059 0.3249
Ti: 0.2810 0.9562 0.6751
Ti: 0.7190 0.0438 0.3249
Co: 0.5000 0.3550 0.8550
Co: 0.5000 0.6450 0.1450
Co: 0.6461 0.0000 0.6461
Co: 0.3539 0.0000 0.3539
Os: 0.0000 0.5000 0.5000
Os: 0.0000 0.0000 0.0000

***

Entry 11:
Below is an optimized crystal structure of Ti2CoOs2, with properties calculated at the PBE-GGA level.

For the total magnetization, the calculation gives 0.02 Bohr magnetons per cell. The value obtained for the formation energy is -0.228 eV per formula unit. The density of states at the Fermi level is 1.36 states/eV per atom.

Cell: 6.2533 6.2533 3.9475 Å, 90.00 90.00 90.00°
Fractional coordinates of all 10 atoms:
Co: 0.0000 0.0000 0.0000
Co: 0.5000 0.5000 0.0000
Os: 0.3613 0.8613 0.0000
Os: 0.8613 0.6387 0.0000
Os: 0.6387 0.1387 0.0000
Os: 0.1387 0.3613 0.0000
Ti: 0.1793 0.6793 0.5000
Ti: 0.6793 0.8207 0.5000
Ti: 0.8207 0.3207 0.5000
Ti: 0.3207 0.1793 0.5000

***

Entry 12:
Below is an optimized crystal structure of Ti4CoOs3, with properties calculated at the PBE-GGA level.

For the total magnetization, the calculation gives 0.95 Bohr magnetons per cell. The value obtained for the formation energy is -4.929 eV per formula unit. The density of states at the Fermi level is 0.53 states/eV per atom.

Cell: 3.0753 4.3455 8.6700 Å, 90.00 90.00 90.00°
Last column: magnetic moment on the atom in μB.
Fractional coordinates of all 8 atoms:
Os: 0.5000 0.0000 0.2471  0.01
Os: 0.5000 0.5000 0.5000  0.02
Os: 0.5000 0.0000 0.7529  0.01
Co: 0.5000 0.5000 0.0000  0.96
Ti: 0.0000 0.0000 0.5000  -0.01
Ti: 0.0000 0.5000 0.7547  0.00
Ti: 0.0000 0.0000 0.0000  0.02
Ti: 0.0000 0.5000 0.2453  0.00